Entry 1:
Ba2BeRuI | PBE | relaxed

Properties
- V: 34.9 A^3/atom
- Formation energy without anion corrections: 74.7 kJ/mol of atoms
- ρ: 4.868 g/cm³
- Crystal system: tetragonal

a b c (Å): 6.007 6.007 4.836
angles (deg): 90.00 90.00 90.00
Space group P4/mmm (No. 123)
Unique sites:
Ba  0.000  0.500  0.000
Be  0.000  0.000  0.000
Ru  0.500  0.500  0.500
I  0.000  0.000  0.500



Entry 2:
HoPtI | PBE | relaxed

Properties
- V: 28.8 A^3/atom
- Formation energy without anion corrections: -92.6 kJ/mol of atoms
- ρ: 9.356 g/cm³
- Crystal system: monoclinic

a b c (Å): 5.553 4.283 7.444
angles (deg): 90.00 102.54 90.00
Space group P2_1/m (No. 11)
Unique sites:
Ho  0.224  0.250  0.436
Pt  0.296  0.750  0.682
I  0.290  0.750  0.131



Entry 3:
Tl2HgMo | PBE | relaxed

Properties
- V: 25.0 A^3/atom
- ρ: 11.705 g/cm³
- Crystal system: tetragonal
- E above lowest polymorph: 0.068 eV/atom

a b c (Å): 2.956 2.956 11.449
angles (deg): 90.00 90.00 90.00
Space group P4/mmm (No. 123)
Unique sites:
Tl  0.000  0.000  0.212
Hg  0.500  0.500  0.500
Mo  0.500  0.500  0.000